Record 1
This record from Alexandria describes a geometry-optimized Mn2CuH structure. The functional is PBE.

Values from the calculation:
For the offset from the most stable computed form, the calculation gives 0.008 eV/atom.

Cell lengths 6.5778, 6.5778, 6.5778 Å; angles 22.28, 22.28, 22.28 degrees
Last column: nearest neighbours and their distance in Å.
Element x y z (fractional)
1 Mn 0.0000 0.0000 0.0000  9 Mn 2.37-2.54, 3 Cu 2.60
2 Mn 0.4299 0.4299 0.4299  3 H 1.78
3 Cu 0.2220 0.2220 0.2220  3 H 2.03
4 H 0.8154 0.8154 0.8154  3 Mn 1.78

---

Record 2
This record from Alexandria describes a geometry-optimized MnCuH2 structure. The functional is PBE.

Values from the calculation:
For the offset from the most stable computed form, the calculation gives 0.000 eV/atom.

Cell lengths 5.0119, 5.0119, 5.0119 Å; angles 32.20, 32.20, 32.20 degrees
Last column: nearest neighbours and their distance in Å.
Element x y z (fractional)
1 Mn 0.0000 0.0000 0.0000  6 H 1.75
2 Cu 0.5000 0.5000 0.5000  2 H 1.68
3 H 0.3823 0.3823 0.3823  1 Cu 1.68, 3 Mn 1.75
4 H 0.6177 0.6177 0.6177  1 Cu 1.68, 3 Mn 1.75

---

Record 3
This record from Alexandria describes a geometry-optimized Mn2CuH structure. The functional is PBE.

Values from the calculation:
For the offset from the most stable computed form, the calculation gives 0.051 eV/atom.

Cell lengths 5.9788, 5.9788, 5.9788 Å; angles 153.97, 153.97, 37.14 degrees
Last column: nearest neighbours and their distance in Å.
Element x y z (fractional)
1 Mn 0.0000 0.0000 0.0000  4 H 1.91
2 Mn 0.3260 0.3260 0.0000  1 H 1.89
3 Cu 0.6689 0.6689 0.0000  1 H 1.99
4 H 0.4930 0.4930 0.0000  5 Mn 1.89-1.91, 1 Cu 1.99

---

Record 4
This record from Alexandria describes a geometry-optimized Mn2CuH structure. The functional is PBE.

Values from the calculation:
For the offset from the most stable computed form, the calculation gives 0.019 eV/atom.

Cell lengths 2.5370, 2.5370, 6.4873 Å; angles 90.00, 90.00, 120.00 degrees
Last column: nearest neighbours and their distance in Å.
Element x y z (fractional)
1 Mn 0.0000 0.0000 0.0000  9 Mn 2.38-2.54, 3 Cu 2.62
2 Mn 0.3333 0.6667 0.7107  3 H 1.79
3 Cu 0.6667 0.3333 0.3346  3 H 2.03
4 H 0.0000 0.0000 0.5520  3 Mn 1.79

---

Record 5
This record from Alexandria describes a geometry-optimized Mn2CuH structure. The functional is PBE.

Values from the calculation:
For the offset from the most stable computed form, the calculation gives 0.010 eV/atom.

Cell lengths 6.6169, 6.6169, 6.6169 Å; angles 22.09, 22.09, 22.09 degrees
Last column: nearest neighbours and their distance in Å.
Element x y z (fractional)
1 Mn 0.0000 0.0000 0.0000  9 Mn 2.37-2.54, 3 Cu 2.62
2 Mn 0.2371 0.2371 0.2371  3 H 1.77
3 Cu 0.7790 0.7790 0.7790  3 H 2.04
4 H 0.5190 0.5190 0.5190  3 Mn 1.77

---

Record 6
This record from Alexandria describes a geometry-optimized MnCuMoH structure. The functional is PBE.

Values from the calculation:
For the offset from the most stable computed form, the calculation gives 0.064 eV/atom.

Cell lengths 4.9683, 4.9683, 3.0507 Å; angles 107.34, 107.34, 36.11 degrees
Last column: nearest neighbours and their distance in Å.
Element x y z (fractional)
1 Mn 0.0000 0.0000 0.0000  1 H 1.68
2 Cu 0.6722 0.6722 0.6580  2 H 1.77
3 Mo 0.3631 0.3631 0.3697  1 H 1.87
4 H 0.1712 0.1712 0.9444  1 Mn 1.68, 2 Cu 1.77, 1 Mo 1.87

---

Record 7
This record from Alexandria describes a geometry-optimized Mn2CuMoH structure. The functional is PBE.

Values from the calculation:
For the offset from the most stable computed form, the calculation gives 0.011 eV/atom.

Cell lengths 3.7438, 3.7438, 3.7965 Å; angles 90.00, 90.00, 90.00 degrees
Last column: nearest neighbours and their distance in Å.
Element x y z (fractional)
1 Mn 0.0000 0.5000 0.0000  2 H 1.87
2 Mn 0.5000 0.0000 0.0000  2 H 1.87
3 Cu 0.0000 0.0000 0.5000  4 Mo 2.65, 8 Mn 2.67
4 Mo 0.5000 0.5000 0.5000  2 H 1.90
5 H 0.5000 0.5000 0.0000  4 Mn 1.87, 2 Mo 1.90

---

Record 8
This record from Alexandria describes a geometry-optimized Mn2CuMoH structure. The functional is PBE.

Values from the calculation:
For the offset from the most stable computed form, the calculation gives 0.000 eV/atom.

Cell lengths 3.8323, 3.8323, 3.5444 Å; angles 90.00, 90.00, 90.00 degrees
Last column: nearest neighbours and their distance in Å.
Element x y z (fractional)
1 Mn 0.0000 0.5000 0.0000  2 H 1.92
2 Mn 0.5000 0.0000 0.0000  2 H 1.92
3 Cu 0.0000 0.0000 0.5000  2 H 1.77
4 Mo 0.5000 0.5000 0.5000  8 Mn 2.61, 4 Cu 2.71
5 H 0.0000 0.0000 0.0000  2 Cu 1.77, 4 Mn 1.92

---

Record 9
This record from Alexandria describes a geometry-optimized MnCuMoH structure. The functional is PBE.

Values from the calculation:
For the offset from the most stable computed form, the calculation gives 0.007 eV/atom.

Cell lengths 4.6372, 4.6372, 2.6460 Å; angles 103.58, 103.58, 49.66 degrees
Last column: nearest neighbours and their distance in Å.
Element x y z (fractional)
1 Mn 0.0000 0.0000 0.0000  2 H 1.82-1.85
2 Cu 0.3316 0.3316 0.3416  2 H 1.95
3 Mo 0.6581 0.6581 0.7046  2 H 1.99-2.01
4 H 0.8431 0.8431 0.3631  2 Mn 1.82-1.85, 2 Cu 1.95, 2 Mo 1.99-2.01

---

Record 10
This record from Alexandria describes a geometry-optimized MnCuMoH structure. The functional is PBE.

Values from the calculation:
For the offset from the most stable computed form, the calculation gives 0.047 eV/atom.

Cell lengths 5.7528, 5.7528, 5.7528 Å; angles 151.33, 151.33, 41.00 degrees
Last column: nearest neighbours and their distance in Å.
Element x y z (fractional)
1 Mn 0.0000 0.0000 0.0000  1 H 1.93
2 Cu 0.6461 0.6461 0.0000  1 H 1.88
3 Mo 0.3277 0.3277 0.0000  4 H 2.02
4 H 0.8210 0.8210 0.0000  1 Cu 1.88, 1 Mn 1.93, 4 Mo 2.02

---

Record 11
This record from Alexandria describes a geometry-optimized MnCuMoH structure. The functional is PBE.

Values from the calculation:
For the offset from the most stable computed form, the calculation gives 0.000 eV/atom.

Cell lengths 4.6143, 4.6143, 2.6421 Å; angles 106.43, 106.43, 51.29 degrees
Last column: nearest neighbours and their distance in Å.
Element x y z (fractional)
1 Mn 0.0000 0.0000 0.0000  2 H 1.76
2 Cu 0.3512 0.3512 0.3492  2 H 2.08-2.09
3 Mo 0.6800 0.6800 0.6779  2 H 2.01
4 H 0.1464 0.1464 0.6444  2 Mn 1.76

---

Record 12
This record from Alexandria describes a geometry-optimized Na2MnCuH5 structure. The functional is PBE.

Values from the calculation:
The total energy comes out at -65.27 eV/cell.

Cell lengths 5.4423, 5.4423, 10.2788 Å; angles 90.00, 90.00, 143.24 degrees
Last column: nearest neighbours and their distance in Å.
Element x y z (fractional)
1 Na 0.0795 0.9205 0.5000  6 H 2.33-2.52
2 Na 0.1634 0.8366 0.1622  4 H 2.05-2.29
3 Na 0.8366 0.1634 0.6622  4 H 2.05-2.29
4 Na 0.9205 0.0795 0.0000  6 H 2.33-2.52
5 Mn 0.4516 0.5484 0.2673  5 H 1.60-1.79
6 Mn 0.5484 0.4516 0.7673  5 H 1.60-1.79
7 Cu 0.2102 0.7898 0.8487  3 H 1.75-1.84
8 Cu 0.7898 0.2102 0.3487  3 H 1.75-1.84
9 H 0.0320 0.9680 0.7674  2 Mn 1.72
10 H 0.3143 0.6857 0.3738  2 Cu 1.75, 1 Mn 1.79
11 H 0.3609 0.6391 0.1407  1 Mn 1.60
12 H 0.3885 0.6115 0.8416  1 Mn 1.82, 1 Cu 1.84
13 H 0.4627 0.5373 0.6359  1 Mn 1.62
14 H 0.5373 0.4627 0.1359  1 Mn 1.62
15 H 0.6115 0.3885 0.3416  1 Mn 1.82, 1 Cu 1.84
16 H 0.6391 0.3609 0.6407  1 Mn 1.60
17 H 0.6857 0.3143 0.8738  2 Cu 1.75, 1 Mn 1.79
18 H 0.9680 0.0320 0.2674  2 Mn 1.72

---

| no. | total magnetic moment (μB/f.u.) |
| --- | --- |
| 1 | 0.0 |
| 2 | 2.6 |
| 3 | 6.5 |
| 4 | 0.0 |
| 5 | 0.0 |
| 6 | 0.0 |
| 7 | 2.8 |
| 8 | 2.1 |
| 9 | 1.3 |
| 10 | 2.7 |
| 11 | 1.2 |
| 12 | 1.7 |